Entry 1:
## Pu2CdPt5 (PBE-GGA)

Data for an optimized crystal structure of Pu2CdPt5.

Computed properties:
Its space group is I4mm (107). As for the formation energy: -0.58 eV/atom. As for the total energy: -8.0480 eV/atom.

a b c (Å): 6.4055 6.4055 5.8486
angles (deg): 123.20 123.20 90.00
Closest atoms and distances in Å follow each position.
Atoms (fractional coordinates):
Pu 0.7307 0.2307 0.4613  10 Pt 2.91-3.21, 2 Cd 3.25
Pu 0.2307 0.7307 0.4613  10 Pt 2.91-3.21, 2 Cd 3.25
Pt 0.7592 0.7592 0.5185  8 Pt 2.90-2.99, 1 Cd 2.95, 4 Pu 3.21
Cd 0.1573 0.1573 0.3147  9 Pt 2.87-3.09
Pt 0.2539 0.6957 0.9495  4 Pt 2.83-2.99, 2 Cd 2.87-3.09, 4 Pu 2.91-2.96
Pt 0.6957 0.6957 0.9496  4 Pt 2.83-2.99, 2 Cd 2.87-3.09, 4 Pu 2.91-2.96
Pt 0.6957 0.2539 0.9496  4 Pt 2.83-2.99, 2 Cd 2.87-3.09, 4 Pu 2.91-2.96
Pt 0.2539 0.2539 0.9495  4 Pt 2.83-2.99, 2 Cd 2.87-3.09, 4 Pu 2.91-2.96



Entry 2:
## Pu2CdPt9 (PBE-GGA)

Data for an optimized crystal structure of Pu2CdPt9.

Computed properties:
Its space group is P4/mmm (123). As for the formation energy: -0.54 eV/atom. As for the total energy: -7.5345 eV/atom.

a b c (Å): 4.1241 4.1241 12.3057
angles (deg): 90.00 90.00 90.00
Closest atoms and distances in Å follow each position.
Atoms (fractional coordinates):
Pt 0.5000 0.5000 0.6696  8 Pt 2.91-2.93, 4 Pu 2.92
Pt 0.5000 0.5000 0.3304  8 Pt 2.91-2.93, 4 Pu 2.92
Pt 0.5000 0.0000 0.5000  8 Pt 2.92-2.93, 4 Pu 2.95
Pt 0.5000 0.0000 0.1639  2 Cd 2.88, 8 Pt 2.88-2.92, 2 Pu 2.90
Pt 0.5000 0.0000 0.8361  2 Cd 2.88, 8 Pt 2.88-2.92, 2 Pu 2.90
Cd 0.0000 0.0000 0.0000  12 Pt 2.88-2.92
Pu 0.0000 0.0000 0.6710  12 Pt 2.90-2.95
Pt 0.5000 0.5000 0.0000  8 Pt 2.88, 4 Cd 2.92
Pt 0.0000 0.5000 0.5000  8 Pt 2.92-2.93, 4 Pu 2.95
Pt 0.0000 0.5000 0.1639  8 Pt 2.88-2.92, 2 Cd 2.88, 2 Pu 2.90
Pt 0.0000 0.5000 0.8361  8 Pt 2.88-2.92, 2 Cd 2.88, 2 Pu 2.90
Pu 0.0000 0.0000 0.3290  12 Pt 2.90-2.95